Below is a geometry-optimized HoSc2Se structure, with properties calculated at the PBE level.

**Volume**: 25.04 Å³/atom
**Calculated total energy**: -5.92 eV per atom
**Symmetry**: R3m (160)
**E_form (uncorrected)**: -285 kJ/mol of formula units

CIF file:
```
data_HoSc2Se
_chemical_formula_sum 'Ho1 Sc2 Se1'
_cell_length_a 3.632
_cell_length_b 3.632
_cell_length_c 9.014
_cell_angle_alpha 78.38
_cell_angle_beta 78.38
_cell_angle_gamma 60.00
_space_group_name_H-M_alt 'P 1'
_space_group_IT_number 1
loop_
_space_group_symop_operation_xyz
'x,y,z'
loop_
_atom_site_label
_atom_site_fract_x
_atom_site_fract_y
_atom_site_fract_z
Sc1 0.065 0.065 0.806
Sc2 0.269 0.269 0.193
Se1 0.666 0.666 0.001
Ho1 0.500 0.500 0.500
```